[1]
A geometry-optimized Li3Tb2NdSn3 structure. Source: OQMD, functional PBE.

The structure in extended XYZ format:
```
9
Lattice="-3.5702 1.7904 -2.5228 -0.2061 -4.4573 1.5513 -4.8794 3.4912 9.3831" Properties=species:S:1:pos:R:3 pbc="T T T"
Li -6.3644 2.5093 6.3648
Li -3.4128 0.3975 0.6889
Li -3.7672 -0.6292 4.8848
Sn -2.2068 -1.7456 1.8842
Sn -5.3275 0.4873 7.8854
Sn -4.8886 1.4534 3.5268
Nd 0.0000 0.0000 0.0000
Tb -1.6545 1.1838 3.1816
Tb -3.2249 2.3074 6.2015
```

---

[2]
A geometry-optimized SrLiNdTe3 structure. Source: OQMD, functional PBE.

The structure in extended XYZ format:
```
24
Lattice="11.7696 0.0000 0.0000 0.0000 4.5074 0.0000 0.0000 0.0000 14.6375" Properties=species:S:1:pos:R:3 pbc="T T T"
Nd 6.0801 1.1269 10.8663
Nd 5.6895 3.3806 3.7712
Nd 0.1953 1.1269 11.0899
Nd 11.5743 3.3806 3.5476
Te 2.7965 3.3806 2.4042
Te 4.8357 1.1269 5.8036
Te 3.0883 1.1269 9.7230
Te 1.0491 3.3806 13.1223
Te 8.6813 3.3806 4.9145
Te 5.2930 3.3806 12.9999
Te 6.4766 1.1269 1.6376
Te 10.7205 1.1269 1.5152
Te 0.5918 1.1269 5.6812
Te 6.9339 3.3806 8.8339
Te 8.9731 1.1269 12.2333
Te 11.1778 3.3806 8.9563
Sr 2.6441 3.3806 7.2659
Sr 8.5289 3.3806 0.0529
Sr 3.2407 1.1269 14.5846
Sr 9.1255 1.1269 7.3716
Li 8.6541 1.1269 3.3353
Li 9.0003 3.3806 10.6541
Li 2.7693 1.1269 3.9834
Li 3.1155 3.3806 11.3022
```

---

[3]
A geometry-optimized SrLiNdTe3 structure. Source: OQMD, functional PBE.

The structure in extended XYZ format:
```
12
Lattice="2.2522 -7.3177 0.0000 2.2522 7.3177 0.0000 0.0000 0.0000 11.7458" Properties=species:S:1:pos:R:3 pbc="T T T"
Sr 2.2522 3.5891 8.8093
Sr 2.2522 -3.5891 2.9364
Te 2.2522 -5.2257 6.6797
Te 2.2522 5.2257 5.0661
Te 2.2522 1.2474 2.9364
Te 2.2522 -1.2474 8.8093
Te 2.2522 -5.2257 10.9390
Te 2.2522 5.2257 0.8068
Li 2.2522 -6.9745 8.8093
Li 2.2522 6.9745 2.9364
Nd 2.2522 0.0000 5.8729
Nd 2.2522 0.0000 0.0000
```

---

[4]
A geometry-optimized SrLiNdTe3 structure. Source: OQMD, functional PBE.

The structure in extended XYZ format:
```
12
Lattice="9.7541 -2.2459 0.0000 9.7541 2.2459 0.0000 -2.2677 0.0000 9.0146" Properties=species:S:1:pos:R:3 pbc="T T T"
Nd 15.3204 0.0000 3.6892
Nd 1.9200 0.0000 5.3255
Te -1.1339 0.0000 4.5073
Te 11.3460 0.0000 7.5079
Te 5.0506 0.0000 5.8619
Te 5.8944 0.0000 1.5067
Te 12.1898 0.0000 3.1527
Te 9.7541 0.0000 0.0000
Li 8.7658 0.0000 2.6704
Li 8.4746 0.0000 6.3442
Sr 2.4079 0.0000 0.6103
Sr 14.8325 0.0000 8.4043
```

---

no.,electronic total energy (eV/cell)
1,-37.437
2,-105.547
3,-52.738
4,-52.686